Compound: AsAu2Br
Source: Alexandria
Functional: PBE
Structure: relaxed

Lattice parameters (Å, degrees): 3.128 4.870 5.352 90.00 90.00 90.00
Fractional coordinates of all 4 atoms:
As  0.000  0.000  0.000
Au  0.000  0.500  0.500
Au  0.500  0.000  0.500
Br  0.500  0.500  0.000

Values from the calculation:
- raw formation energy (meV/atom) = 417
- space-group type = Pmmm (47)
- energy above the most stable polymorph in this dataset (eV/atom) = 0.3813
- raw total energy (eV/cell) = -11.209



Compound: As2AuBr
Source: Alexandria
Functional: PBE
Structure: relaxed

Lattice parameters (Å, degrees): 4.815 3.677 6.877 90.00 103.44 90.00
Fractional coordinates of all 4 atoms:
As  0.000  0.000  0.000
As  0.076  0.500  0.774
Au  0.543  0.500  0.676
Br  0.434  0.000  0.273

Values from the calculation:
- raw formation energy (meV/atom) = -33
- space-group type = Pm (6)
- energy above the most stable polymorph in this dataset (eV/atom) = 0.0000
- raw total energy (eV/cell) = -14.381



Compound: As2AuBr
Source: Alexandria
Functional: PBE
Structure: relaxed

Lattice parameters (Å, degrees): 5.159 5.159 6.487 95.16 95.16 41.51
Fractional coordinates of all 4 atoms:
As  0.000  0.000  0.000
As  0.670  0.670  0.069
Au  0.168  0.168  0.730
Br  0.332  0.332  0.457

Values from the calculation:
- raw formation energy (meV/atom) = 61
- space-group type = Cm (8)
- energy above the most stable polymorph in this dataset (eV/atom) = 0.0935
- raw total energy (eV/cell) = -14.007



Compound: As2AuBr
Source: Alexandria
Functional: PBE
Structure: relaxed

Lattice parameters (Å, degrees): 3.850 3.850 6.700 90.00 90.00 90.00
Fractional coordinates of all 4 atoms:
As  0.000  0.000  0.000
As  0.500  0.500  0.023
Au  0.500  0.500  0.383
Br  0.000  0.000  0.626

Values from the calculation:
- raw formation energy (meV/atom) = 141
- space-group type = P4mm (99)
- energy above the most stable polymorph in this dataset (eV/atom) = 0.1736
- raw total energy (eV/cell) = -13.687



Compound: As2AuBr
Source: Alexandria
Functional: PBE
Structure: relaxed

Lattice parameters (Å, degrees): 5.068 5.068 7.761 90.00 90.00 136.75
Fractional coordinates of all 4 atoms:
As  0.000  0.000  0.000
As  0.500  0.500  0.204
Au  0.000  0.000  0.442
Br  0.500  0.500  0.691

Values from the calculation:
- raw formation energy (meV/atom) = 286
- space-group type = Cmm2 (35)
- energy above the most stable polymorph in this dataset (eV/atom) = 0.3186
- raw total energy (eV/cell) = -13.107



Compound: AsAu2Br
Source: Alexandria
Functional: PBE
Structure: relaxed

Lattice parameters (Å, degrees): 3.917 3.917 7.366 105.57 105.57 59.94
Fractional coordinates of all 4 atoms:
As  0.000  0.000  0.000
Au  0.468  0.468  0.398
Au  0.724  0.724  0.169
Br  0.215  0.215  0.634

Values from the calculation:
- raw formation energy (meV/atom) = 65
- space-group type = Cm (8)
- energy above the most stable polymorph in this dataset (eV/atom) = 0.0291
- raw total energy (eV/cell) = -12.618